1.
# BaHo2Er

A geometry-optimized BaHo2Er structure (PBE-GGA, Alexandria via LeMat-Bulk).

Cell: 12.9252 12.9252 12.9252 Å, 15.92 15.92 15.92°
With the nearest neighbours (Å) after each atom.
Fractional coordinates of all 4 atoms:
Ba 0.0000 0.0000 0.0000  6 Ba 3.58, 2 Ho 3.60
Ho 0.0941 0.0941 0.0941  3 Er 3.46, 6 Ho 3.58, 1 Ba 3.60
Ho 0.9059 0.9059 0.9059  3 Er 3.46, 6 Ho 3.58, 1 Ba 3.60
Er 0.5000 0.5000 0.5000  6 Ho 3.46, 6 Er 3.58

## Properties
- Energy of formation: 232 meV/atom
- Total magnetization: 0.06 Bohr magnetons per cell
- DFT total energy: -14.71 eV per formula unit


2.
# IrC2SF

A geometry-optimized IrC2SF structure (PBE-GGA, Alexandria via LeMat-Bulk).

Cell: 4.0054 4.0054 4.0455 Å, 90.00 90.00 90.00°
With the nearest neighbours (Å) after each atom.
Fractional coordinates of all 5 atoms:
Ir 0.0000 0.0000 0.0000  4 C 2.00, 2 F 2.02
C 0.0000 0.5000 0.0000  2 Ir 2.00
C 0.5000 0.0000 0.0000  2 Ir 2.00
S 0.5000 0.5000 0.5000  4 F 2.83, 8 C 2.85
F 0.0000 0.0000 0.5000  2 Ir 2.02

## Properties
- Total magnetization: 0.00 Bohr magnetons per cell
- DFT total energy: -26.84 eV per formula unit


3.
# HfNb2Ga2

A geometry-optimized HfNb2Ga2 structure (PBE-GGA, Alexandria via LeMat-Bulk).

Cell: 7.9770 7.9770 2.8815 Å, 90.00 90.00 90.00°
With the nearest neighbours (Å) after each atom.
Fractional coordinates of all 10 atoms:
Hf 0.0000 0.0000 0.0000  2 Hf 2.88, 4 Nb 3.18
Hf 0.5000 0.5000 0.0000  2 Hf 2.88, 4 Nb 3.18
Nb 0.1195 0.3805 0.0000  3 Nb 2.70-2.88, 6 Ga 2.71-2.81
Nb 0.3805 0.8805 0.0000  3 Nb 2.70-2.88, 6 Ga 2.71-2.81
Nb 0.6195 0.1195 0.0000  3 Nb 2.70-2.88, 6 Ga 2.71-2.81
Nb 0.8805 0.6195 0.0000  3 Nb 2.70-2.88, 6 Ga 2.71-2.81
Ga 0.1774 0.6774 0.5000  6 Nb 2.71-2.81, 2 Ga 2.88
Ga 0.3226 0.1774 0.5000  6 Nb 2.71-2.81, 2 Ga 2.88
Ga 0.6774 0.8226 0.5000  6 Nb 2.71-2.81, 2 Ga 2.88
Ga 0.8226 0.3226 0.5000  6 Nb 2.71-2.81, 2 Ga 2.88

## Properties
- Energy of formation: -83 meV/atom
- Total magnetization: 0.00 Bohr magnetons per cell
- DFT total energy: -36.56 eV per formula unit
- ΔE to the lowest computed polymorph: 337 meV/atom


4.
# NpCuS3

A geometry-optimized NpCuS3 structure (PBE-GGA, Alexandria via LeMat-Bulk).

Cell: 7.6182 7.6182 6.9238 Å, 90.00 90.00 149.26°
With the nearest neighbours (Å) after each atom.
Fractional coordinates of all 10 atoms:
Np 0.1915 0.8085 0.7500  7 S 2.58-2.76
Np 0.8085 0.1915 0.2500  7 S 2.58-2.76
Cu 0.4424 0.5576 0.7500  4 S 2.29-2.32
Cu 0.5576 0.4424 0.2500  4 S 2.29-2.32
S 0.0158 0.9842 0.7500  2 Cu 2.29
S 0.3376 0.6624 0.9996  1 Cu 2.32
S 0.3376 0.6624 0.5004  1 Cu 2.32
S 0.6624 0.3376 0.0004  1 Cu 2.32
S 0.6624 0.3376 0.4996  1 Cu 2.32
S 0.9842 0.0158 0.2500  2 Cu 2.29

## Properties
- Total magnetization: 3.96 Bohr magnetons per cell
- DFT total energy: -33.32 eV per formula unit


Calculated V (Å³/atom), listed in the same order as above: 35.40, 12.98, 18.34, 20.54